Computed, not measured: MgNiW after structural relaxation at the PBE level of DFT.

Calculated values
E_form: 87 meV/atom
uncorrected energy: -0.492 Ry/atom
polymorph energy (0 for the lowest one): 0.0 meV/atom
N(E_F): 0.54 states/eV per atom

a = 3.0464 Å, b = 4.3458 Å, c = 7.0472 Å
α = 90.00°, β = 77.49°, γ = 90.00°
Sites, in units of the cell vectors:
Mg 0.9110 0.6713 0.8881
Mg 0.7646 0.1714 0.1832
Ni 0.2429 0.6717 0.2266
W 0.0782 0.1713 0.5550
W 0.5973 0.6713 0.5163
Ni 0.4331 0.1715 0.8446

Computed, not measured: NaZn3Cu after structural relaxation at the PBE level of DFT.

Calculated values
E_form: -19 meV/atom
uncorrected energy: -0.137 Ry/atom
polymorph energy (0 for the lowest one): 0.0 meV/atom
N(E_F): 0.24 states/eV per atom

a = 4.9587 Å, b = 5.9192 Å, c = 6.6203 Å
α = 116.55°, β = 90.00°, γ = 90.00°
Sites, in units of the cell vectors:
Zn 0.2500 0.3807 0.3063
Zn 0.7500 0.0743 0.6937
Zn 0.2500 0.8156 0.6312
Na 0.2500 0.4076 0.8151
Zn 0.7500 0.1844 0.3688
Cu 0.0000 0.0000 0.0000
Na 0.7500 0.5924 0.1849
Cu 0.5000 0.0000 0.0000
Zn 0.7500 0.6193 0.6937
Zn 0.2500 0.9257 0.3063

Computed, not measured: V4Tc3 after structural relaxation at the PBE level of DFT.

Calculated values
E_form: -268 meV/atom
uncorrected energy: -0.729 Ry/atom
N(E_F): 0.57 states/eV per atom

a = 4.2768 Å, b = 4.2768 Å, c = 6.5886 Å
α = 71.06°, β = 71.06°, γ = 60.00°
Sites, in units of the cell vectors:
V 0.7156 0.7156 0.8532
V 0.1420 0.1420 0.5739
Tc 0.8555 0.8555 0.4334
Tc 0.2860 0.2860 0.1421
Tc 0.0031 0.0031 0.9907
V 0.5698 0.5698 0.2907
V 0.4280 0.4280 0.7160

Computed, not measured: La12Co5Sn3 after structural relaxation at the PBE level of DFT.

Calculated values
E_form: -166 meV/atom
uncorrected energy: -0.404 Ry/atom
N(E_F): 1.19 states/eV per atom

a = 14.9895 Å, b = 14.9895 Å, c = 14.9895 Å
α = 109.47°, β = 109.47°, γ = 109.47°
Sites, in units of the cell vectors:
La 0.9160 0.0953 0.6187
La 0.4766 0.7973 0.8813
La 0.2027 0.5234 0.6187
La 0.8813 0.2973 0.4766
Sn 0.1250 0.8750 0.7500
La 0.3813 0.9766 0.7973
Co 0.5000 0.0000 0.5000
La 0.2973 0.4160 0.8207
Co 0.5000 0.5000 0.0000
La 0.1793 0.0840 0.7027
La 0.0953 0.1793 0.4766
La 0.5840 0.7027 0.6793
La 0.0234 0.6187 0.7027
La 0.5234 0.3207 0.9047
La 0.7027 0.5840 0.1793
Co 0.7500 0.1250 0.8750
La 0.1187 0.7027 0.5234
La 0.7973 0.3207 0.9160
Co 0.2500 0.3750 0.6250
La 0.1793 0.0953 0.9766
La 0.6793 0.4766 0.5953
La 0.5840 0.8813 0.4047
Sn 0.7500 0.3750 0.1250
Co 0.7500 0.6250 0.3750
La 0.5234 0.2027 0.1187
Co 0.6250 0.7500 0.8750
La 0.3207 0.5234 0.4047
La 0.3813 0.4047 0.0840
Co 0.2500 0.8750 0.1250
La 0.7027 0.1187 0.0234
La 0.9766 0.3813 0.2973
La 0.0234 0.4047 0.8207
Sn 0.6250 0.3750 0.7500
Co 0.1250 0.3750 0.2500
La 0.4160 0.1187 0.5953
Co 0.3750 0.1250 0.7500
La 0.5953 0.6187 0.4160
La 0.4160 0.2973 0.3207
La 0.4766 0.6793 0.0953
La 0.9047 0.8207 0.5234
La 0.5953 0.9766 0.6793
La 0.0840 0.1793 0.2027
La 0.8207 0.9047 0.0234
La 0.1187 0.4160 0.0953
Sn 0.1250 0.2500 0.8750
Co 0.8750 0.2500 0.6250
Co 0.5000 0.0000 0.0000
La 0.9047 0.0840 0.8813
Sn 0.8750 0.7500 0.1250
Co 0.1250 0.7500 0.3750
La 0.7973 0.4766 0.3813
Co 0.8750 0.6250 0.7500
Co 0.0000 0.5000 0.5000
Sn 0.6250 0.2500 0.3750
La 0.3207 0.7973 0.4160
Co 0.0000 0.0000 0.0000
La 0.4047 0.0234 0.3207
La 0.8207 0.9160 0.2973
La 0.9766 0.5953 0.1793
La 0.8813 0.5840 0.9047
La 0.2027 0.6793 0.0840
La 0.4047 0.3813 0.5840
Co 0.3750 0.2500 0.1250
Sn 0.3750 0.7500 0.6250
La 0.6187 0.0234 0.2027
Sn 0.7500 0.8750 0.6250
Co 0.5000 0.5000 0.5000
La 0.9160 0.8207 0.7973
Co 0.0000 0.0000 0.5000
Sn 0.2500 0.1250 0.3750
La 0.6793 0.2027 0.5840
Sn 0.3750 0.6250 0.2500
La 0.2973 0.8813 0.9766
Co 0.6250 0.8750 0.2500
Sn 0.8750 0.1250 0.2500
La 0.0953 0.9160 0.1187
La 0.6187 0.5953 0.9160
La 0.0840 0.9047 0.3813
Co 0.0000 0.5000 0.0000
Sn 0.2500 0.6250 0.8750

Computed, not measured: Pm6Nd5Er2 after structural relaxation at the PBE level of DFT.

Calculated values
E_form: 91 meV/atom
uncorrected energy: -0.341 Ry/atom
N(E_F): 1.19 states/eV per atom

a = 3.6460 Å, b = 11.7919 Å, c = 20.9072 Å
α = 90.00°, β = 90.00°, γ = 90.00°
Sites, in units of the cell vectors:
Er 0.0000 0.8300 0.2108
Pm 0.0000 0.4180 0.8678
Pm 0.5000 0.6743 0.8613
Pm 0.0000 0.9180 0.6322
Nd 0.5000 0.3026 0.4456
Nd 0.5000 0.5866 0.2733
Nd 0.5000 0.0866 0.2267
Nd 0.5000 0.9134 0.7733
Pm 0.0000 0.4370 0.5805
Pm 0.0000 0.0630 0.0805
Pm 0.5000 0.8257 0.3613
Nd 0.5000 0.6974 0.5544
Nd 0.5000 0.8026 0.0544
Nd 0.5000 0.4134 0.7267
Pm 0.5000 0.3257 0.1387
Pm 0.0000 0.9370 0.9195
Er 0.0000 0.3300 0.2892
Nd 0.5000 0.5000 0.0000
Pm 0.0000 0.5820 0.1322
Nd 0.5000 0.0000 0.5000
Nd 0.5000 0.1974 0.9456
Pm 0.5000 0.1743 0.6387
Pm 0.0000 0.5630 0.4195
Er 0.0000 0.1700 0.7892
Pm 0.0000 0.0820 0.3678
Er 0.0000 0.6700 0.7108

Computed, not measured: As2PbS2 after structural relaxation at the PBE level of DFT.

Calculated values
uncorrected energy: -0.311 Ry/atom
N(E_F): 0.30 states/eV per atom
E_form (uncorrected): 8 kJ/mol of formula units

a = 8.7752 Å, b = 8.7752 Å, c = 3.3490 Å
α = 90.00°, β = 90.00°, γ = 90.00°
Sites, in units of the cell vectors:
As 0.7348 0.2348 0.0000
S 0.6377 0.8623 0.5000
As 0.2348 0.2652 0.0000
S 0.8623 0.3623 0.5000
S 0.1377 0.6377 0.5000
As 0.2652 0.7652 0.0000
Pb 0.5000 0.5000 0.0000
Pb 0.0000 0.0000 0.0000
S 0.3623 0.1377 0.5000
As 0.7652 0.7348 0.0000